# 1
PBE LaP2IrPt, relaxed; SG = P4/nmm, No. 129
1.0
4.305 0.000 0.000
0.000 4.305 0.000
0.000 0.000 9.541
La P Ir Pt
2 4 2 2
Direct
0.250 0.250 0.243
0.750 0.750 0.757
0.250 0.250 0.641
0.250 0.750 0.000
0.750 0.250 0.000
0.750 0.750 0.359
0.250 0.250 0.892
0.750 0.750 0.108
0.250 0.750 0.500
0.750 0.250 0.500



# 2
PBE HfGeAu2, relaxed; SG = F-43m, No. 216
1.0
6.663 0.000 0.000
0.000 6.663 0.000
0.000 0.000 6.663
Hf Ge Au
4 4 8
Direct
0.000 0.000 0.000
0.000 0.500 0.500
0.500 0.000 0.500
0.500 0.500 0.000
0.250 0.250 0.750
0.250 0.750 0.250
0.750 0.250 0.250
0.750 0.750 0.750
0.000 0.000 0.500
0.000 0.500 0.000
0.250 0.250 0.250
0.250 0.750 0.750
0.500 0.000 0.000
0.500 0.500 0.500
0.750 0.250 0.750
0.750 0.750 0.250



# 3
PBE KSmTe3As, relaxed; SG = Cmcm, No. 63
1.0
2.278 -8.494 0.000
2.278 8.494 0.000
0.000 0.000 11.058
K Sm Te As
2 2 6 2
Direct
0.236 0.764 0.750
0.764 0.236 0.250
0.000 0.000 0.000
0.000 0.000 0.500
0.099 0.901 0.250
0.372 0.628 0.048
0.372 0.628 0.452
0.628 0.372 0.548
0.628 0.372 0.952
0.901 0.099 0.750
0.464 0.536 0.250
0.536 0.464 0.750



How do the records compare in final energy? In the order shown, they have -71.99 -88.46 -48.54 eV for the cell shown.
How do the records compare in V? In the order shown, they have 17.68 18.49 35.66 A^3/atom.